No. 1
# Co3SnB | Alexandria | PBE | relaxed
data_Co3SnB
_chemical_formula_sum 'Co3 Sn1 B1'
_space_group_name_H-M_alt 'P m -3 m'
_space_group_IT_number 221
_space_group_name_Hall '-P 4 2 3'
_cell_length_a 3.8678
_cell_length_b 3.8678
_cell_length_c 3.8678
_cell_angle_alpha 90.00
_cell_angle_beta 90.00
_cell_angle_gamma 90.00
loop_
_atom_site_label
_atom_site_fract_x
_atom_site_fract_y
_atom_site_fract_z
_atom_site_occupancy
Co1 0.0000 0.0000 0.5000 1
Sn1 0.5000 0.5000 0.5000 1
B1 0.0000 0.0000 0.0000 1
# Magnetization (Bohr magnetons per cell): 0.0

---

No. 2
# Cd4Pd3Pt | Alexandria | PBE | relaxed
data_Cd4Pd3Pt
_chemical_formula_sum 'Cd12 Pd9 Pt3'
_space_group_name_H-M_alt 'R -3 m'
_space_group_IT_number 166
_space_group_name_Hall '-R 3 2"'
_cell_length_a 4.6318
_cell_length_b 4.6318
_cell_length_c 22.6998
_cell_angle_alpha 90.00
_cell_angle_beta 90.00
_cell_angle_gamma 120.00
loop_
_atom_site_label
_atom_site_fract_x
_atom_site_fract_y
_atom_site_fract_z
_atom_site_occupancy
Cd1 0.0000 0.0000 0.1251 1
Cd2 0.0000 0.0000 0.3752 1
Pd1 0.0000 0.0000 0.2499 1
Pd2 0.0000 0.0000 0.5000 1
Pt1 0.0000 0.0000 0.0000 1
# Magnetization (Bohr magnetons per cell): 0.0

---

No. 3
# SmHoTlIr | Alexandria | PBE | relaxed
data_SmHoTlIr
_chemical_formula_sum 'Sm1 Ho1 Tl1 Ir1'
_space_group_name_H-M_alt 'P 4 m m'
_space_group_IT_number 99
_space_group_name_Hall 'P 4 -2'
_cell_length_a 3.4907
_cell_length_b 3.4907
_cell_length_c 8.1065
_cell_angle_alpha 90.00
_cell_angle_beta 90.00
_cell_angle_gamma 90.00
loop_
_atom_site_label
_atom_site_fract_x
_atom_site_fract_y
_atom_site_fract_z
_atom_site_occupancy
Sm1 0.0000 0.0000 0.0000 1
Ho1 0.0000 0.0000 0.5887 1
Tl1 0.5000 0.5000 0.3017 1
Ir1 0.5000 0.5000 0.7833 1
# Magnetization (Bohr magnetons per cell): 0.0

---

No. 4
# Y2ErTl | Alexandria | PBE | relaxed
data_Y2ErTl
_chemical_formula_sum 'Y8 Er4 Tl4'
_space_group_name_H-M_alt 'F m -3 m'
_space_group_IT_number 225
_space_group_name_Hall '-F 4 2 3'
_cell_length_a 7.7306
_cell_length_b 7.7306
_cell_length_c 7.7306
_cell_angle_alpha 90.00
_cell_angle_beta 90.00
_cell_angle_gamma 90.00
loop_
_atom_site_label
_atom_site_fract_x
_atom_site_fract_y
_atom_site_fract_z
_atom_site_occupancy
Y1 0.2500 0.2500 0.2500 1
Er1 0.0000 0.0000 0.0000 1
Tl1 0.0000 0.0000 0.5000 1
# Magnetization (Bohr magnetons per cell): 6.1

---

No. 5
# Cd2MoOs | Alexandria | PBE | relaxed
data_Cd2MoOs
_chemical_formula_sum 'Cd4 Mo2 Os2'
_space_group_name_H-M_alt 'C m m m'
_space_group_IT_number 65
_space_group_name_Hall '-C 2 2'
_cell_length_a 5.4030
_cell_length_b 9.2222
_cell_length_c 2.8125
_cell_angle_alpha 90.00
_cell_angle_beta 90.00
_cell_angle_gamma 90.00
loop_
_atom_site_label
_atom_site_fract_x
_atom_site_fract_y
_atom_site_fract_z
_atom_site_occupancy
Cd1 0.2500 0.2500 0.0000 1
Mo1 0.0000 0.0000 0.5000 1
Os1 0.0000 0.5000 0.5000 1
# Magnetization (Bohr magnetons per cell): 1.6

---

No. 6
# NaBiHPd2 | Alexandria | PBE | relaxed
data_NaBiHPd2
_chemical_formula_sum 'Na1 Bi1 H1 Pd2'
_space_group_name_H-M_alt 'P 4/m m m'
_space_group_IT_number 123
_space_group_name_Hall '-P 4 2'
_cell_length_a 4.2577
_cell_length_b 4.2577
_cell_length_c 4.3283
_cell_angle_alpha 90.00
_cell_angle_beta 90.00
_cell_angle_gamma 90.00
loop_
_atom_site_label
_atom_site_fract_x
_atom_site_fract_y
_atom_site_fract_z
_atom_site_occupancy
Na1 0.0000 0.0000 0.0000 1
Bi1 0.5000 0.5000 0.0000 1
H1 0.0000 0.0000 0.5000 1
Pd1 0.0000 0.5000 0.5000 1
# Magnetization (Bohr magnetons per cell): 0.0

---

No. 7
# NdScGa2 | Alexandria | PBE | relaxed
data_NdScGa2
_chemical_formula_sum 'Nd3 Sc3 Ga6'
_space_group_name_H-M_alt 'R -3 m'
_space_group_IT_number 166
_space_group_name_Hall '-R 3 2"'
_cell_length_a 3.5806
_cell_length_b 3.5806
_cell_length_c 26.0499
_cell_angle_alpha 90.00
_cell_angle_beta 90.00
_cell_angle_gamma 120.00
loop_
_atom_site_label
_atom_site_fract_x
_atom_site_fract_y
_atom_site_fract_z
_atom_site_occupancy
Nd1 0.0000 0.0000 0.0000 1
Sc1 0.0000 0.0000 0.5000 1
Ga1 0.0000 0.0000 0.2433 1
# Magnetization (Bohr magnetons per cell): 0.0

---

No. 8
# PrNdRuRh | Alexandria | PBE | relaxed
data_PrNdRuRh
_chemical_formula_sum 'Pr4 Nd4 Ru4 Rh4'
_space_group_name_H-M_alt 'F -4 3 m'
_space_group_IT_number 216
_space_group_name_Hall 'F -4 2 3'
_cell_length_a 7.0864
_cell_length_b 7.0864
_cell_length_c 7.0864
_cell_angle_alpha 90.00
_cell_angle_beta 90.00
_cell_angle_gamma 90.00
loop_
_atom_site_label
_atom_site_fract_x
_atom_site_fract_y
_atom_site_fract_z
_atom_site_occupancy
Pr1 0.0000 0.0000 0.0000 1
Nd1 0.0000 0.0000 0.5000 1
Ru1 0.2500 0.2500 0.2500 1
Rh1 0.2500 0.2500 0.7500 1
# Magnetization (Bohr magnetons per cell): 0.0

---

No. 9
# Ti6ZnGa2 | Alexandria | PBE | relaxed
data_Ti6ZnGa2
_chemical_formula_sum 'Ti6 Zn1 Ga2'
_space_group_name_H-M_alt 'P -1'
_space_group_IT_number 2
_space_group_name_Hall '-P 1'
_cell_length_a 3.0052
_cell_length_b 6.8526
_cell_length_c 7.5282
_cell_angle_alpha 99.83
_cell_angle_beta 90.09
_cell_angle_gamma 102.66
loop_
_atom_site_label
_atom_site_fract_x
_atom_site_fract_y
_atom_site_fract_z
_atom_site_occupancy
Ti1 0.0177 0.0323 0.3241 1
Ti2 0.1633 0.3265 0.9405 1
Ti3 0.3441 0.6860 0.3950 1
Zn1 0.5000 0.0000 0.0000 1
Ga1 0.3215 0.6454 0.7496 1
# Magnetization (Bohr magnetons per cell): 0.0

---

No. 10
# TiCrTePS | Alexandria | PBE | relaxed
data_TiCrTePS
_chemical_formula_sum 'Ti2 Cr2 Te2 P2 S2'
_space_group_name_H-M_alt 'C 1 m 1'
_space_group_IT_number 8
_space_group_name_Hall 'C -2y'
_cell_length_a 6.0431
_cell_length_b 3.4871
_cell_length_c 9.0490
_cell_angle_alpha 90.00
_cell_angle_beta 90.11
_cell_angle_gamma 90.00
loop_
_atom_site_label
_atom_site_fract_x
_atom_site_fract_y
_atom_site_fract_z
_atom_site_occupancy
Ti1 0.0000 0.0000 0.0000 1
Cr1 0.1656 0.5000 0.7171 1
Te1 0.3319 0.0000 0.5147 1
P1 0.3327 0.0000 0.8351 1
S1 0.1673 0.5000 0.1543 1
# Magnetization (Bohr magnetons per cell): 2.2
# Uncorrected formation energy (eV/atom): -0.70

---

No. 11
# CaAlHg2 | Alexandria | PBE | relaxed
data_CaAlHg2
_chemical_formula_sum 'Ca1 Al1 Hg2'
_space_group_name_H-M_alt 'P 1 2/m 1'
_space_group_IT_number 10
_space_group_name_Hall '-P 2y'
_cell_length_a 3.4202
_cell_length_b 4.3606
_cell_length_c 6.6843
_cell_angle_alpha 90.00
_cell_angle_beta 104.25
_cell_angle_gamma 90.00
loop_
_atom_site_label
_atom_site_fract_x
_atom_site_fract_y
_atom_site_fract_z
_atom_site_occupancy
Ca1 0.0000 0.0000 0.0000 1
Al1 0.5000 0.0000 0.5000 1
Hg1 0.3660 0.5000 0.7346 1
# Magnetization (Bohr magnetons per cell): 0.0

---

No. 12
# ZnSbSCl2 | Alexandria | PBE | relaxed
data_ZnSbSCl2
_chemical_formula_sum 'Zn1 Sb1 S1 Cl2'
_space_group_name_H-M_alt 'P 4/m m m'
_space_group_IT_number 123
_space_group_name_Hall '-P 4 2'
_cell_length_a 4.6841
_cell_length_b 4.6841
_cell_length_c 5.0318
_cell_angle_alpha 90.00
_cell_angle_beta 90.00
_cell_angle_gamma 90.00
loop_
_atom_site_label
_atom_site_fract_x
_atom_site_fract_y
_atom_site_fract_z
_atom_site_occupancy
Zn1 0.0000 0.0000 0.0000 1
Sb1 0.5000 0.5000 0.5000 1
S1 0.0000 0.0000 0.5000 1
Cl1 0.0000 0.5000 0.0000 1
# Magnetization (Bohr magnetons per cell): 0.0
# Uncorrected formation energy (eV/atom): -0.18

---

Number 1: density of states at the Fermi level 1.403 states/eV/f.u., E_tot -6.53 eV/atom. Number 2: density of states at the Fermi level 3.352 states/eV/f.u., E_tot -3.53 eV/atom. Number 3: density of states at the Fermi level 3.180 states/eV/f.u., E_tot -5.71 eV/atom. Number 4: density of states at the Fermi level 5.238 states/eV/f.u., E_tot -5.01 eV/atom. Number 5: density of states at the Fermi level 4.092 states/eV/f.u., E_tot -5.28 eV/atom. Number 6: density of states at the Fermi level 2.017 states/eV/f.u., E_tot -3.94 eV/atom. Number 7: density of states at the Fermi level 2.398 states/eV/f.u., E_tot -4.64 eV/atom. Number 8: density of states at the Fermi level 3.112 states/eV/f.u., E_tot -6.87 eV/atom. Number 9: density of states at the Fermi level 8.181 states/eV/f.u., E_tot -6.33 eV/atom. Number 10: density of states at the Fermi level 2.779 states/eV/f.u., E_tot -6.74 eV/atom. Number 11: density of states at the Fermi level 1.300 states/eV/f.u., E_tot -1.81 eV/atom. Number 12: density of states at the Fermi level 3.764 states/eV/f.u., E_tot -2.82 eV/atom.